(1)
Material: TiTcAg3
Method: DFT, PBE
State: relaxed

Cell lengths 4.890, 4.890, 4.890 Å; angles 90.00, 90.00, 90.00 degrees
Space group Pm-3m (No. 221)
Symmetry-distinct sites (fractional):
Ti1 0.000 0.000 0.000 x1
Tc1 0.500 0.500 0.500 x1
Ag1 0.000 0.000 0.500 x3

Results
The formation energy is 1.68 eV/atom. As for the crystal system: cubic. As for the density of states at the Fermi level: 2.03 states/eV per atom.

***

(2)
Material: YAg2Te3
Method: DFT, PBE
State: relaxed

Cell lengths 7.147, 4.264, 12.766 Å; angles 90.00, 101.58, 90.00 degrees
Space group P2_1/m (No. 11)
Symmetry-distinct sites (fractional):
Y1 0.018 0.250 0.292 x2
Ag1 0.010 0.250 0.916 x2
Ag2 0.147 0.250 0.555 x2
Te1 0.256 0.250 0.123 x2
Te2 0.269 0.750 0.437 x2
Te3 0.287 0.250 0.780 x2

Results
As for the crystal system: monoclinic. The calculation puts the formation energy without anion corrections at -0.56 eV/atom. As for the density of states at the Fermi level: 0.48 states/eV per atom.

***

(3)
Material: Be2SbW
Method: DFT, PBE
State: relaxed

Cell lengths 8.590, 3.380, 4.355 Å; angles 90.00, 106.84, 90.00 degrees
Space group C2/m (No. 12)
Symmetry-distinct sites (fractional):
Be1 0.225 0.000 0.117 x4
Sb1 0.000 0.000 0.500 x2
W1 0.000 0.500 0.000 x2

Results
As for the crystal system: monoclinic. The calculation puts the formation energy without anion corrections at 0.53 eV/atom. As for the density of states at the Fermi level: 0.65 states/eV per atom.

***

(4)
Material: Er3TmTe4
Method: DFT, PBE
State: relaxed

Cell lengths 7.496, 8.535, 7.505 Å; angles 90.00, 109.15, 90.00 degrees
Space group P2/c (No. 13)
Symmetry-distinct sites (fractional):
Er1 0.000 0.126 0.250 x2
Er2 0.500 0.128 0.750 x2
Er3 0.500 0.373 0.250 x2
Tm1 0.000 0.371 0.750 x2
Te1 0.248 0.378 0.499 x4
Te2 0.250 0.123 0.000 x4

Results
As for the crystal system: monoclinic. The calculation puts the formation energy without anion corrections at -1.20 eV/atom. As for the density of states at the Fermi level: 0.51 states/eV per atom.

***

(5)
Material: Ho3Tm3Sc5
Method: DFT, PBE
State: relaxed

Cell lengths 9.0267, 9.0267, 5.3281 Å; angles 90.00, 90.00, 120.00 degrees
Space group P-62m (No. 189)
Symmetry-distinct sites (fractional):
Ho1 0.0000 0.3791 0.0000 x3
Tm1 0.0000 0.5940 0.5000 x3
Sc1 0.0000 0.7562 0.0000 x3
Sc2 0.3333 0.6667 0.0000 x2

Results
The formation energy is 0.84 eV/atom. As for the crystal system: hexagonal. As for the density of states at the Fermi level: 1.50 states/eV per atom.

***

(6)
Material: NbNi2AgCl
Method: DFT, PBE
State: relaxed

Cell lengths 4.176, 4.176, 5.000 Å; angles 90.00, 90.00, 90.00 degrees
Space group P4/mmm (No. 123)
Symmetry-distinct sites (fractional):
Nb1 0.000 0.000 0.000 x1
Ni1 0.000 0.500 0.500 x2
Ag1 0.500 0.500 0.000 x1
Cl1 0.500 0.500 0.500 x1

Results
As for the crystal system: tetragonal. The calculation puts the formation energy without anion corrections at 1.03 eV/atom. As for the density of states at the Fermi level: 0.75 states/eV per atom.

***

(7)
Material: IrI2NCl
Method: DFT, PBE
State: relaxed

Cell lengths 5.898, 5.898, 3.298 Å; angles 90.00, 90.00, 90.00 degrees
Space group P4/mmm (No. 123)
Symmetry-distinct sites (fractional):
Ir1 0.000 0.000 0.000 x1
I1 0.000 0.500 0.500 x2
N1 0.500 0.500 0.000 x1
Cl1 0.500 0.500 0.500 x1

Results
As for the crystal system: tetragonal. The calculation puts the formation energy without anion corrections at 1.95 eV/atom. As for the density of states at the Fermi level: 1.14 states/eV per atom.

***

(8)
Material: PmBe2Rh
Method: DFT, PBE
State: relaxed

Cell lengths 3.8881, 3.8881, 15.0252 Å; angles 90.00, 90.00, 120.00 degrees
Space group R-3m (No. 166, hexagonal axes)
Symmetry-distinct sites (fractional):
Pm1 0.0000 0.0000 0.0000 x3
Be1 0.0000 0.0000 0.1943 x6
Rh1 0.0000 0.0000 0.5000 x3

Results
The formation energy is -0.42 eV/atom. As for the crystal system: trigonal. As for the density of states at the Fermi level: 0.47 states/eV per atom.